PmNdHoEr | PBE | optimized geometry

Geometry as POSCAR:
```
PmNdHoEr
1.0
0.000 4.042 4.042
4.042 0.000 4.042
4.042 4.042 0.000
Pm Nd Ho Er
1 1 1 1
Direct
0.000 0.000 0.000
0.500 0.500 0.500
0.250 0.250 0.250
0.750 0.750 0.750
```

Output
D(E_F)   1.9138 states/eV per atom
VASP energy   -4.553 eV per atom
Relative energy among the computed polymorphs   91.8 meV per atom
E_form   0.45 eV/f.u.
V   132 Å³/cell
Space group   F-43m, No. 216